[1]
A plane-wave DFT calculation with PBE-GGA was carried out for a geometry-optimized Sr2CrFe structure.

abc: 5.313 5.313 5.313
angles: 60.00 60.00 60.00
Fractional positions:
Sr 0.000 0.000 0.000
Sr 0.250 0.250 0.250
Cr 0.750 0.750 0.750
Fe 0.500 0.500 0.500

Values from the calculation:
energy	-0.326	Ry per atom
SG	F-43m (216)
energy of formation from the pure elements	931	meV per atom
spin magnetization	1.6	μB/f.u.
polymorph energy (0 for the lowest one)	375	meV/atom
density	4.4	Mg/m³

***

[2]
A plane-wave DFT calculation with PBE-GGA was carried out for a geometry-optimized K2BiI4 structure.

abc: 7.612 7.612 7.612
angles: 111.16 111.16 106.15
Fractional positions:
K 0.250 0.750 0.500
K 0.750 0.250 0.500
Bi 0.000 0.000 0.000
I 0.253 0.745 0.000
I 0.255 0.255 0.507
I 0.745 0.253 0.000
I 0.747 0.747 0.493

Values from the calculation:
energy	-0.196	Ry per atom
SG	I-42m (121)
spin magnetization	1.0	μB/f.u.
raw formation energy	-0.9177	eV/atom
polymorph energy (0 for the lowest one)	0	meV/atom
density	3.9	Mg/m³

***

What did the second record say?
A plane-wave DFT calculation with PBE-GGA was carried out for a geometry-optimized K2BiI4 structure.

abc: 7.612 7.612 7.612
angles: 111.16 111.16 106.15
Fractional positions:
K 0.250 0.750 0.500
K 0.750 0.250 0.500
Bi 0.000 0.000 0.000
I 0.253 0.745 0.000
I 0.255 0.255 0.507
I 0.745 0.253 0.000
I 0.747 0.747 0.493

Values from the calculation:
energy	-0.196	Ry per atom
SG	I-42m (121)
spin magnetization	1.0	μB/f.u.
raw formation energy	-0.9177	eV/atom
polymorph energy (0 for the lowest one)	0	meV/atom
density	3.9	Mg/m³